This record from Alexandria describes a geometry-optimized BeAl2Co structure. The functional is PBE.

Results
Total magnetization ... 0.000 μB per atom
E_form ... -0.25 eV/atom

Lattice parameters (Å, degrees): 4.512 4.512 4.512 133.54 133.54 67.81
Fractional positions:
Be  0.000  0.000  0.000
Al  0.500  0.500  0.000
Al  0.750  0.250  0.500
Co  0.250  0.750  0.500